(1)
Rb2HfIr2: relaxed, PBE.

a b c (Å): 8.287 8.287 8.287
angles (deg): 152.10 152.10 39.87
Element x y z (fractional)
Rb (0.250, 0.750, 0.500)
Rb (0.750, 0.250, 0.500)
Hf (0.000, 0.000, 0.000)
Ir (0.422, 0.422, 0.000)
Ir (0.578, 0.578, 0.000)

Properties
- Uncorrected energy: -4.86 eV per atom
- Energy above the most stable polymorph in this dataset: 633 meV per atom
- Magnetic moment: 1.27 μB per cell
- ΔH_f (0 K): 1.059 eV/atom

(2)
KGe3Sb: relaxed, PBE.

a b c (Å): 5.448 5.448 5.448
angles (deg): 90.00 90.00 90.00
Element x y z (fractional)
K (0.000, 0.000, 0.000)
Ge (0.000, 0.000, 0.500)
Ge (0.000, 0.500, 0.000)
Ge (0.500, 0.000, 0.000)
Sb (0.500, 0.500, 0.500)

Properties
- Uncorrected energy: -2.33 eV per atom
- Energy above the most stable polymorph in this dataset: 913 meV per atom
- Magnetic moment: 0.00 μB per cell

- energy above the most stable polymorph in this dataset of number 2 (KGe3Sb)?
  913 meV per atom

What did the first record say?
Rb2HfIr2: relaxed, PBE.

a b c (Å): 8.287 8.287 8.287
angles (deg): 152.10 152.10 39.87
Element x y z (fractional)
Rb (0.250, 0.750, 0.500)
Rb (0.750, 0.250, 0.500)
Hf (0.000, 0.000, 0.000)
Ir (0.422, 0.422, 0.000)
Ir (0.578, 0.578, 0.000)

Properties
- Uncorrected energy: -4.86 eV per atom
- Energy above the most stable polymorph in this dataset: 633 meV per atom
- Magnetic moment: 1.27 μB per cell
- ΔH_f (0 K): 1.059 eV/atom

- What is the magnetic moment in the second record?
  0.00 μB per cell